Material: CoNiAu
Method: DFT, PBE-GGA
State: relaxed

a = 5.7093 Å, b = 5.7093 Å, c = 5.7093 Å
α = 152.21°, β = 152.21°, γ = 39.71°
Closest atoms and distances in Å follow each position.
Sites, in units of the cell vectors:
Co (0.0000, 0.0000, 0.0000)  4 Ni 2.42
Ni (0.6354, 0.6354, 0.0000)  4 Co 2.42
Au (0.3174, 0.3174, 0.0000)  4 Au 2.74, 4 Ni 2.75, 4 Co 2.76

Values from the calculation:
crystal system	tetragonal
E_form	0.141	eV per atom
E above lowest polymorph	0.009	eV per atom
N(E_F)	2.73	states/eV per cell
magnetization	2.48	Bohr magnetons per cell

***

Material: Co2NiAu
Method: DFT, PBE-GGA
State: relaxed

a = 8.6791 Å, b = 8.6791 Å, c = 8.6791 Å
α = 17.59°, β = 17.59°, γ = 17.59°
Closest atoms and distances in Å follow each position.
Sites, in units of the cell vectors:
Co (0.0000, 0.0000, 0.0000)  9 Co 2.44-2.65
Co (0.2595, 0.2595, 0.2595)  9 Co 2.44-2.65, 3 Ni 2.49
Ni (0.5165, 0.5165, 0.5165)  3 Co 2.49, 6 Ni 2.65
Au (0.7590, 0.7590, 0.7590)  6 Au 2.65, 3 Ni 2.79, 3 Co 2.82

Values from the calculation:
crystal system	trigonal
E_form	0.194	eV per atom
E above lowest polymorph	0.060	eV per atom
N(E_F)	3.25	states/eV per cell
magnetization	3.79	Bohr magnetons per cell

***

Material: CoNiAu2
Method: DFT, PBE-GGA
State: relaxed

a = 4.6119 Å, b = 4.6119 Å, c = 2.8238 Å
α = 90.00°, β = 90.00°, γ = 103.17°
Closest atoms and distances in Å follow each position.
Sites, in units of the cell vectors:
Co (0.0000, 0.0000, 0.0000)  8 Au 2.70, 2 Co 2.82, 2 Ni 2.87
Ni (0.5000, 0.5000, 0.0000)  8 Au 2.70, 2 Ni 2.82, 2 Co 2.87
Au (0.0000, 0.5000, 0.5000)  4 Co 2.70, 4 Ni 2.70, 4 Au 2.82-2.87
Au (0.5000, 0.0000, 0.5000)  4 Co 2.70, 4 Ni 2.70, 4 Au 2.82-2.87

Values from the calculation:
crystal system	orthorhombic
E_form	0.212	eV per atom
E above lowest polymorph	0.096	eV per atom
N(E_F)	6.76	states/eV per cell
magnetization	2.23	Bohr magnetons per cell

***

Material: CoNiAu2
Method: DFT, PBE-GGA
State: relaxed

a = 2.8050 Å, b = 2.8050 Å, c = 7.4556 Å
α = 90.00°, β = 90.00°, γ = 90.00°
Closest atoms and distances in Å follow each position.
Sites, in units of the cell vectors:
Co (0.0000, 0.0000, 0.0000)  4 Ni 2.43
Ni (0.5000, 0.5000, 0.1873)  4 Co 2.43
Au (0.0000, 0.0000, 0.4392)  4 Ni 2.73, 8 Au 2.80-3.02
Au (0.5000, 0.5000, 0.7445)  4 Co 2.75, 8 Au 2.80-3.02

Values from the calculation:
crystal system	tetragonal
E_form	0.116	eV per atom
E above lowest polymorph	0.000	eV per atom
N(E_F)	3.46	states/eV per cell
magnetization	2.52	Bohr magnetons per cell

***

Material: Co2NiAu2
Method: DFT, PBE-GGA
State: relaxed

a = 6.0731 Å, b = 6.0731 Å, c = 3.9473 Å
α = 90.00°, β = 90.00°, γ = 90.00°
Closest atoms and distances in Å follow each position.
Sites, in units of the cell vectors:
Co (0.1281, 0.3719, 0.0000)  1 Co 2.20, 2 Ni 2.39
Co (0.3719, 0.8719, 0.0000)  1 Co 2.20, 2 Ni 2.39
Co (0.6281, 0.1281, 0.0000)  1 Co 2.20, 2 Ni 2.39
Co (0.8719, 0.6281, 0.0000)  1 Co 2.20, 2 Ni 2.39
Ni (0.0000, 0.0000, 0.0000)  4 Co 2.39
Ni (0.5000, 0.5000, 0.0000)  4 Co 2.39
Au (0.1739, 0.6739, 0.5000)  6 Co 2.61-2.71
Au (0.3261, 0.1739, 0.5000)  6 Co 2.61-2.71
Au (0.6739, 0.8261, 0.5000)  6 Co 2.61-2.71
Au (0.8261, 0.3261, 0.5000)  6 Co 2.61-2.71

Values from the calculation:
crystal system	tetragonal
E_form	0.348	eV per atom
N(E_F)	9.63	states/eV per cell
magnetization	8.34	Bohr magnetons per cell

***

Material: Co2NiAu
Method: DFT, PBE-GGA
State: relaxed

a = 2.6672 Å, b = 3.6249 Å, c = 5.3448 Å
α = 90.00°, β = 90.00°, γ = 90.00°
Closest atoms and distances in Å follow each position.
Sites, in units of the cell vectors:
Co (0.0000, 0.0000, 0.2147)  1 Co 2.30, 4 Ni 2.53
Co (0.0000, 0.0000, 0.7853)  1 Co 2.30, 4 Ni 2.53
Ni (0.5000, 0.5000, 0.0000)  8 Co 2.53, 2 Ni 2.67, 2 Au 2.67
Au (0.5000, 0.5000, 0.5000)  2 Au 2.67, 2 Ni 2.67, 8 Co 2.72

Values from the calculation:
crystal system	orthorhombic
E_form	0.168	eV per atom
E above lowest polymorph	0.034	eV per atom
N(E_F)	5.60	states/eV per cell
magnetization	4.25	Bohr magnetons per cell

***

Material: Co2NiAu
Method: DFT, PBE-GGA
State: relaxed

a = 4.1893 Å, b = 4.1893 Å, c = 4.1893 Å
α = 60.00°, β = 60.00°, γ = 60.00°
Closest atoms and distances in Å follow each position.
Sites, in units of the cell vectors:
Co (0.0000, 0.0000, 0.0000)  4 Ni 2.57, 4 Co 2.57
Co (0.2500, 0.2500, 0.2500)  4 Co 2.57, 4 Au 2.57
Ni (0.7500, 0.7500, 0.7500)  4 Co 2.57, 4 Au 2.57
Au (0.5000, 0.5000, 0.5000)  4 Co 2.57, 4 Ni 2.57

Values from the calculation:
crystal system	cubic
E_form	0.248	eV per atom
E above lowest polymorph	0.115	eV per atom
N(E_F)	5.73	states/eV per cell
magnetization	4.32	Bohr magnetons per cell

***

Material: CoNi2Au
Method: DFT, PBE-GGA
State: relaxed

a = 8.6382 Å, b = 8.6382 Å, c = 8.6382 Å
α = 17.72°, β = 17.72°, γ = 17.72°
Closest atoms and distances in Å follow each position.
Sites, in units of the cell vectors:
Co (0.0000, 0.0000, 0.0000)  3 Ni 2.44, 6 Co 2.66
Ni (0.4847, 0.4847, 0.4847)  9 Ni 2.49-2.66, 3 Au 2.76
Ni (0.7412, 0.7412, 0.7412)  3 Co 2.44, 9 Ni 2.49-2.66
Au (0.2414, 0.2414, 0.2414)  6 Au 2.66, 3 Ni 2.76, 3 Co 2.80

Values from the calculation:
crystal system	trigonal
E_form	0.206	eV per atom
E above lowest polymorph	0.107	eV per atom
N(E_F)	5.10	states/eV per cell
magnetization	2.74	Bohr magnetons per cell

***

> What is the formula in the second record?

Co2NiAu

***

> N(E_F) of number 3 (CoNiAu2)?

6.76 states/eV per cell

***

> The lowest N(E_F) belongs to which entry?

CoNiAu